Entry 1:
# CsRbCo3 PBE relaxed
data_CsRbCo3
_cell_length_a 6.2772
_cell_length_b 6.2772
_cell_length_c 6.2772
_cell_angle_alpha 90.00
_cell_angle_beta 90.00
_cell_angle_gamma 90.00
_symmetry_space_group_name_H-M 'P m -3 m'
_symmetry_Int_Tables_number 221
_symmetry_space_group_name_Hall '-P 4 2 3'
loop_
_atom_site_label
_atom_site_type_symbol
_atom_site_fract_x
_atom_site_fract_y
_atom_site_fract_z
Cs1 Cs 0.0000 0.0000 0.0000
Rb1 Rb 0.5000 0.5000 0.5000
Co1 Co 0.0000 0.5000 0.5000
# magnetic moment	7.0	μB/f.u.
# E above lowest polymorph	0.000	eV/atom

Entry 2:
# CsRbCo2Sn PBE relaxed
data_CsRbCo2Sn
_cell_length_a 6.1808
_cell_length_b 6.1808
_cell_length_c 6.5926
_cell_angle_alpha 90.00
_cell_angle_beta 90.00
_cell_angle_gamma 90.00
_symmetry_space_group_name_H-M 'P 4/m m m'
_symmetry_Int_Tables_number 123
_symmetry_space_group_name_Hall '-P 4 2'
loop_
_atom_site_label
_atom_site_type_symbol
_atom_site_fract_x
_atom_site_fract_y
_atom_site_fract_z
Cs1 Cs 0.0000 0.0000 0.0000
Rb1 Rb 0.5000 0.5000 0.5000
Co1 Co 0.0000 0.5000 0.5000
Sn1 Sn 0.5000 0.5000 0.0000
# magnetic moment	2.9	μB/f.u.

Entry 3:
# CsCoRe3 PBE relaxed
data_CsCoRe3
_cell_length_a 4.6699
_cell_length_b 4.6699
_cell_length_c 4.6699
_cell_angle_alpha 90.00
_cell_angle_beta 90.00
_cell_angle_gamma 90.00
_symmetry_space_group_name_H-M 'P m -3 m'
_symmetry_Int_Tables_number 221
_symmetry_space_group_name_Hall '-P 4 2 3'
loop_
_atom_site_label
_atom_site_type_symbol
_atom_site_fract_x
_atom_site_fract_y
_atom_site_fract_z
Cs1 Cs 0.0000 0.0000 0.0000
Co1 Co 0.5000 0.5000 0.5000
Re1 Re 0.0000 0.5000 0.5000
# magnetic moment	3.7	μB/f.u.
# E above lowest polymorph	0.000	eV/atom

Formation energy readings, ordered: 2.175, 1.764, 2.323 eV/atom